Entry 1:
Here is a relaxed structure of K3TbSb2O9 from the Alexandria database. Energies are from PBE.

a = 5.8995 Å, b = 5.8995 Å, c = 7.2947 Å
α = 90.00°, β = 90.00°, γ = 120.00°
Last column: nearest neighbours and their distance in Å.
Positions (direct):
K 0.0000 0.0000 0.0000  12 O 2.91-2.95
K 0.3333 0.6667 0.6653  12 O 2.95-3.03
K 0.6667 0.3333 0.3347  12 O 2.95-3.03
Tb 0.0000 0.0000 0.5000  6 O 2.25
Sb 0.3333 0.6667 0.1588  6 O 1.97-2.06
Sb 0.6667 0.3333 0.8412  6 O 1.97-2.06
O 0.0000 0.5000 0.0000  2 Sb 2.06
O 0.1756 0.3512 0.3141  1 Sb 1.97
O 0.1756 0.8244 0.3141  1 Sb 1.97
O 0.3512 0.1756 0.6859  1 Sb 1.97
O 0.5000 0.0000 0.0000  2 Sb 2.06
O 0.5000 0.5000 0.0000  2 Sb 2.06
O 0.6488 0.8244 0.3141  1 Sb 1.97
O 0.8244 0.1756 0.6859  1 Sb 1.97
O 0.8244 0.6488 0.6859  1 Sb 1.97

The space-group type is P-3m1.

---

Entry 2:
Here is a relaxed structure of K4Tb3SbO8 from the Alexandria database. Energies are from PBE.

a = 7.4614 Å, b = 7.4614 Å, c = 7.4614 Å
α = 56.18°, β = 56.18°, γ = 56.18°
Last column: nearest neighbours and their distance in Å.
Positions (direct):
K 0.0000 0.0000 0.0000  6 O 2.79
K 0.0000 0.5000 0.5000  6 O 2.82-2.83
K 0.5000 0.0000 0.5000  6 O 2.82-2.83
K 0.5000 0.5000 0.0000  6 O 2.82-2.83
Tb 0.0000 0.0000 0.5000  6 O 2.34
Tb 0.0000 0.5000 0.0000  6 O 2.34
Tb 0.5000 0.0000 0.0000  6 O 2.34
Sb 0.5000 0.5000 0.5000  6 O 2.38
O 0.2245 0.7323 0.7323  2 Tb 2.34, 1 Sb 2.38
O 0.2285 0.2285 0.2285  3 Tb 2.34
O 0.2677 0.2677 0.7755  2 Tb 2.34, 1 Sb 2.38
O 0.2677 0.7755 0.2677  2 Tb 2.34, 1 Sb 2.38
O 0.7323 0.2245 0.7323  2 Tb 2.34, 1 Sb 2.38
O 0.7323 0.7323 0.2245  2 Tb 2.34, 1 Sb 2.38
O 0.7715 0.7715 0.7715  3 Tb 2.34
O 0.7755 0.2677 0.2677  2 Tb 2.34, 1 Sb 2.38

The space-group type is R-3m.

---

Entry 3:
Here is a relaxed structure of K2TbSbO4 from the Alexandria database. Energies are from PBE.

a = 7.1994 Å, b = 7.1994 Å, c = 7.1994 Å
α = 120.35°, β = 119.55°, γ = 90.08°
Last column: nearest neighbours and their distance in Å.
Positions (direct):
K 0.0000 0.0000 0.0000  6 O 2.71-2.73
K 0.5000 0.0000 0.0000  6 O 2.77
K 0.5000 0.0000 0.5000  6 O 2.71-2.73
K 0.5000 0.5000 0.5000  6 O 2.77
Tb 0.0000 0.0000 0.5000  6 O 2.34-2.35
Tb 0.0000 0.5000 0.0000  6 O 2.34-2.35
Sb 0.0000 0.5000 0.5000  6 O 2.39-2.41
Sb 0.5000 0.5000 0.0000  6 O 2.39-2.41
O 0.1920 0.7332 0.4588  2 Tb 2.35, 1 Sb 2.39
O 0.2257 0.2668 0.9588  2 Tb 2.35, 1 Sb 2.39
O 0.2289 0.2595 0.5306  1 Tb 2.34, 2 Sb 2.41
O 0.2289 0.6983 0.9694  1 Tb 2.34, 2 Sb 2.41
O 0.7711 0.3017 0.0306  1 Tb 2.34, 2 Sb 2.41
O 0.7711 0.7405 0.4694  1 Tb 2.34, 2 Sb 2.41
O 0.7743 0.7332 0.0412  2 Tb 2.35, 1 Sb 2.39
O 0.8080 0.2668 0.5412  2 Tb 2.35, 1 Sb 2.39

The space-group type is Imma.

---

Entry 4:
Here is a relaxed structure of K4TbSb3O12 from the Alexandria database. Energies are from PBE.

a = 7.1906 Å, b = 7.1906 Å, c = 7.1906 Å
α = 109.47°, β = 109.47°, γ = 109.47°
Last column: nearest neighbours and their distance in Å.
Positions (direct):
K 0.0000 0.0000 0.5000  12 O 2.94
K 0.0000 0.5000 0.0000  12 O 2.94
K 0.5000 0.0000 0.0000  12 O 2.94
K 0.5000 0.5000 0.5000  12 O 2.94
Tb 0.0000 0.0000 0.0000  6 O 2.23
Sb 0.0000 0.5000 0.5000  6 O 1.92-2.08
Sb 0.5000 0.0000 0.5000  6 O 1.92-2.08
Sb 0.5000 0.5000 0.0000  6 O 1.92-2.08
O 0.0000 0.2683 0.2683  1 Sb 1.92
O 0.0000 0.7317 0.7317  1 Sb 1.92
O 0.2500 0.5000 0.7500  2 Sb 2.08
O 0.2500 0.7500 0.5000  2 Sb 2.08
O 0.2683 0.0000 0.2683  1 Sb 1.92
O 0.2683 0.2683 0.0000  1 Sb 1.92
O 0.5000 0.2500 0.7500  2 Sb 2.08
O 0.5000 0.7500 0.2500  2 Sb 2.08
O 0.7317 0.0000 0.7317  1 Sb 1.92
O 0.7317 0.7317 0.0000  1 Sb 1.92
O 0.7500 0.2500 0.5000  2 Sb 2.08
O 0.7500 0.5000 0.2500  2 Sb 2.08

The space-group type is Im-3m.

---

Number 1: total magnetization 0.13 μB/atom, E -5.772 eV per atom. Number 2: total magnetization 0.00 μB/atom, E -6.261 eV per atom. Number 3: total magnetization 0.00 μB/atom, E -5.817 eV per atom. Number 4: total magnetization 0.08 μB/atom, E -5.720 eV per atom.